4
Lattice="5.0230 0.0000 0.0000 2.5115 4.3501 0.0000 2.5115 1.4500 4.1013" Properties=species:S:1:pos:R:3 comment="EuPuSCl (GGA-PBE, relaxed)" vol_a3_per_cell=89.61 formation_energy_uncorrected_ev_per_atom=-1.40 density_g_cm3=8.59 magnetic_moment_mub_per_cell=13.96 dos_ef_per_ev_cell=6.79 pbc="T T T"
Pu 2.5115 1.4500 1.0253
Cl 0.0000 0.0000 0.0000
Eu 7.5345 4.3501 3.0760
S 5.0230 2.9000 2.0506